(1)
VASP calculation (GGA-PBE) on a geometry-optimized SbPCS2 structure.

The structure in extended XYZ format:
```
5
Lattice="4.0545 0.0000 0.0000 0.0000 4.0545 0.0000 0.0000 0.0000 4.9524" Properties=species:S:1:pos:R:3 pbc="T T T"
Sb 0.0000 0.0000 0.0000
P 2.0272 2.0272 0.0000
C 0.0000 0.0000 2.4762
S 0.0000 2.0272 2.4762
S 2.0272 0.0000 2.4762
```

* density of states at the Fermi level: 2.71 states/eV/f.u.
* E_tot: -20.952 eV for the cell shown
* ΔE_f (raw): 1.212 eV per atom
* E above lowest polymorph: 1.847 eV per formula unit

---

(2)
VASP calculation (GGA-PBE) on a geometry-optimized SbPCS2 structure.

The structure in extended XYZ format:
```
5
Lattice="4.9909 0.0000 0.0000 0.0000 4.9909 0.0000 0.0000 0.0000 5.2446" Properties=species:S:1:pos:R:3 pbc="T T T"
Sb 0.0000 0.0000 0.0000
P 0.0000 0.0000 2.6223
C 2.4954 2.4954 2.6223
S 0.0000 2.4954 0.0000
S 2.4954 0.0000 0.0000
```

* density of states at the Fermi level: 5.91 states/eV/f.u.
* E_tot: -16.239 eV for the cell shown
* ΔE_f (raw): 2.154 eV per atom
* E above lowest polymorph: 6.560 eV per formula unit

---

(3)
VASP calculation (GGA-PBE) on a geometry-optimized SbPCS2 structure.

The structure in extended XYZ format:
```
5
Lattice="4.8656 0.0000 0.0000 0.0000 4.8656 0.0000 0.0000 0.0000 3.4569" Properties=species:S:1:pos:R:3 pbc="T T T"
Sb 0.0000 0.0000 0.0000
P 2.4328 2.4328 1.7284
C 2.4328 2.4328 0.0000
S 0.0000 2.4328 1.7284
S 2.4328 0.0000 1.7284
```

* density of states at the Fermi level: 1.57 states/eV/f.u.
* E_tot: -22.799 eV for the cell shown
* ΔE_f (raw): 0.842 eV per atom
* E above lowest polymorph: 0.000 eV per formula unit